[1]
Material: Ho3Er7Cd
Method: DFT, PBE
State: relaxed

abc: 8.4488 6.8836 6.8836
angles: 120.00 90.00 90.00
Last column: nearest neighbours and their distance in Å.
Fractional positions:
Ho1 0.7847 0.5016 0.4984  5 Er 3.41-3.47, 4 Ho 3.41-3.47, 1 Cd 3.50
Ho2 0.7847 0.5016 0.0032  5 Er 3.41-3.47, 4 Ho 3.41-3.47, 1 Cd 3.50
Ho3 0.7847 0.9968 0.4984  5 Er 3.41-3.47, 4 Ho 3.41-3.47, 1 Cd 3.50
Er1 0.1212 0.1674 0.8326  1 Cd 3.38, 8 Er 3.40-3.46, 2 Ho 3.47
Er2 0.1212 0.1674 0.3348  1 Cd 3.38, 8 Er 3.40-3.46, 2 Ho 3.47
Er3 0.1138 0.6667 0.3333  3 Ho 3.41, 9 Er 3.42-3.44
Er4 0.4459 0.8302 0.1697  7 Er 3.38-3.51, 2 Cd 3.44, 2 Ho 3.47
Er5 0.4459 0.3395 0.1697  7 Er 3.38-3.51, 2 Cd 3.44, 2 Ho 3.47
Er6 0.4459 0.8302 0.6605  7 Er 3.38-3.51, 2 Cd 3.44, 2 Ho 3.47
Er7 0.1212 0.6652 0.8326  1 Cd 3.38, 8 Er 3.40-3.46, 2 Ho 3.47
Cd1 0.4457 0.3333 0.6667  9 Er 3.38-3.44, 3 Ho 3.50

Output
symmetry: P3m1, No. 156
magnetization: 0.000 μB/atom
ΔE_f: 0.168 eV/atom
calculated volume: 31.52 A^3/atom
E_tot: -4.07 eV per atom


[2]
Material: BaCdIn2Rh
Method: DFT, PBE
State: relaxed

abc: 5.1882 5.1882 5.3125
angles: 90.00 90.00 90.00
Last column: nearest neighbours and their distance in Å.
Fractional positions:
Cd1 0.0000 0.0000 0.5000  2 Rh 2.66
Rh1 0.0000 0.0000 0.0000  4 In 2.59, 2 Cd 2.66
Ba1 0.5000 0.5000 0.5000  4 Cd 3.67, 8 In 3.71
In1 0.0000 0.5000 0.0000  2 Rh 2.59
In2 0.5000 0.0000 0.0000  2 Rh 2.59

Output
symmetry: P4/mmm, No. 123
magnetization: 0.000 μB/atom
ΔE_f: -0.378 eV/atom
distance to the lowest polymorph of the same formula: 0 meV/atom
calculated volume: 28.60 A^3/atom
E_tot: -3.51 eV per atom